(1)
VASP calculation (meta-GGA SCAN) on BiSeBr at its PBEsol-relaxed geometry.

The space group is Pnma (No. 62) and the conventional cell measures 8.065, 4.074 and 10.723 Å, with angles of 90.00, 90.00 and 90.00 degrees. The distinct sites, in fractional coordinates, are Bi at (0.132, 0.250, 0.132), Se at (0.189, 0.750, 0.954) and Br at (0.030, 0.250, 0.695).

The raw formation energy comes out at -144 kJ/mol of formula units. As for the electronic total energy: -1.46520 hartree per atom.

***

(2)
VASP calculation (meta-GGA SCAN) on NaCu2Au2 at its PBEsol-relaxed geometry.

The space group is I4/mmm (No. 139) and the conventional cell measures 3.955, 3.955 and 11.251 Å, with angles of 90.00, 90.00 and 90.00 degrees. The distinct sites, in fractional coordinates, are Na at (0.000, 0.000, 0.000), Cu at (0.000, 0.000, 0.397) and Au at (0.000, 0.500, 0.250).

As for the electronic total energy: -1.27071 hartree per atom. The calculation puts the calculated formation energy at 0.008 eV per atom.

***

(3)
VASP calculation (meta-GGA SCAN) on CrCd2Re at its PBEsol-relaxed geometry.

The space group is R3m (No. 160, hexagonal axes) and the conventional cell measures 2.8684, 2.8684 and 27.8489 Å, with angles of 90.00, 90.00 and 120.00 degrees. The distinct sites, in fractional coordinates, are Cr at (0.0000, 0.0000, 0.0000), Cd at (0.0000, 0.0000, 0.5146), Cd at (0.0000, 0.0000, 0.7512) and Re at (0.0000, 0.0000, 0.2714).

As for the electronic total energy: -1.36836 hartree per atom. The calculation puts the calculated formation energy at 0.343 eV per atom.

***

(4)
VASP calculation (meta-GGA SCAN) on MgCuAu4 at its PBEsol-relaxed geometry.

The space group is F-43m (No. 216) and the conventional cell measures 7.575, 7.575 and 7.575 Å, with angles of 90.00, 90.00 and 90.00 degrees. The distinct sites, in fractional coordinates, are Mg at (0.000, 0.000, 0.000), Cu at (0.250, 0.250, 0.750) and Au at (0.125, 0.125, 0.375).

As for the electronic total energy: -1.82058 hartree per atom. The calculation puts the calculated formation energy at -0.074 eV per atom.